[1]
Density functional theory data (PBE-GGA) for a relaxed structure of Al2AgI8.

Summary:
uncorrected formation energy = -4.4 eV per formula unit
energy above the most stable polymorph in this dataset = 0.1034 eV per atom
density of states at the Fermi level = 16.918 states/eV/cell
total magnetic moment = 0.00 μB per formula unit

Cell lengths 9.0192, 8.3249, 8.3249 Å; angles 120.00, 90.00, 90.00 degrees
Last column: nearest neighbours and their distance in Å.
Fractional coordinates of all 11 atoms:
Ag (0.5000, 0.0000, 0.0000)  6 I 3.05
I (0.7203, 0.3215, 0.1607)  1 Al 2.57
I (0.7203, 0.8393, 0.6785)  1 Al 2.57
I (0.0747, 0.6667, 0.3333)  1 Al 2.54
I (0.9253, 0.3333, 0.6667)  1 Al 2.54
I (0.2797, 0.1607, 0.8393)  1 Al 2.57
I (0.2797, 0.6785, 0.8393)  1 Al 2.57
I (0.7203, 0.8393, 0.1607)  1 Al 2.57
I (0.2797, 0.1607, 0.3215)  1 Al 2.57
Al (0.2070, 0.3333, 0.6667)  4 I 2.54-2.57
Al (0.7930, 0.6667, 0.3333)  4 I 2.54-2.57

[2]
Density functional theory data (PBE-GGA) for a relaxed structure of AlAg2I2.

Summary:
uncorrected formation energy = 1.0 eV per formula unit
energy above the most stable polymorph in this dataset = 0.0094 eV per atom
density of states at the Fermi level = 3.216 states/eV/cell
total magnetic moment = 0.00 μB per formula unit

Cell lengths 7.9114, 7.9114, 4.3136 Å; angles 90.00, 90.00, 90.00 degrees
Last column: nearest neighbours and their distance in Å.
Fractional coordinates of all 10 atoms:
Ag (0.6286, 0.1286, 0.0000)  1 Ag 2.88, 2 I 3.02, 2 Al 3.11
Ag (0.3714, 0.8714, 0.0000)  1 Ag 2.88, 2 I 3.02, 2 Al 3.11
Ag (0.8714, 0.6286, 0.0000)  1 Ag 2.88, 2 I 3.02, 2 Al 3.11
Ag (0.1286, 0.3714, 0.0000)  1 Ag 2.88, 2 I 3.02, 2 Al 3.11
I (0.1822, 0.6822, 0.5000)  6 Ag 3.02-3.30
I (0.3178, 0.1822, 0.5000)  6 Ag 3.02-3.30
I (0.8178, 0.3178, 0.5000)  6 Ag 3.02-3.30
I (0.6822, 0.8178, 0.5000)  6 Ag 3.02-3.30
Al (0.5000, 0.5000, 0.0000)  4 Ag 3.11
Al (0.0000, 0.0000, 0.0000)  4 Ag 3.11

[3]
Density functional theory data (PBE-GGA) for a relaxed structure of AlAgI3.

Summary:
uncorrected formation energy = 0.0 eV per formula unit
energy above the most stable polymorph in this dataset = 0.0000 eV per atom
density of states at the Fermi level = 1.946 states/eV/cell
total magnetic moment = 0.00 μB per formula unit

Cell lengths 5.6077, 5.6077, 5.6077 Å; angles 90.00, 90.00, 90.00 degrees
Last column: nearest neighbours and their distance in Å.
Fractional coordinates of all 5 atoms:
Ag (0.5000, 0.5000, 0.5000)  12 I 3.97
I (0.0000, 0.5000, 0.0000)  2 Al 2.80
I (0.5000, 0.0000, 0.0000)  2 Al 2.80
I (0.0000, 0.0000, 0.5000)  2 Al 2.80
Al (0.0000, 0.0000, 0.0000)  6 I 2.80

[4]
Density functional theory data (PBE-GGA) for a relaxed structure of Al2Ag2I.

Summary:
uncorrected formation energy = 0.8 eV per formula unit
energy above the most stable polymorph in this dataset = 0.0000 eV per atom
density of states at the Fermi level = 1.829 states/eV/cell
total magnetic moment = 0.00 μB per formula unit

Cell lengths 4.1983, 4.1983, 7.1092 Å; angles 72.83, 72.83, 90.00 degrees
Last column: nearest neighbours and their distance in Å.
Fractional coordinates of all 5 atoms:
I (0.0000, 0.0000, 0.0000)  8 Ag 3.34
Ag (0.3820, 0.3820, 0.2359)  4 Al 2.70
Ag (0.6180, 0.6180, 0.7641)  4 Al 2.70
Al (0.7500, 0.2500, 0.5000)  4 Ag 2.70, 4 Al 2.97
Al (0.2500, 0.7500, 0.5000)  4 Ag 2.70, 4 Al 2.97

[5]
Density functional theory data (PBE-GGA) for a relaxed structure of AlAg2I2.

Summary:
uncorrected formation energy = 1.0 eV per formula unit
energy above the most stable polymorph in this dataset = 0.0000 eV per atom
density of states at the Fermi level = 1.772 states/eV/cell
total magnetic moment = 0.00 μB per formula unit

Cell lengths 6.0312, 6.0312, 5.9152 Å; angles 59.35, 59.35, 90.00 degrees
Last column: nearest neighbours and their distance in Å.
Fractional coordinates of all 5 atoms:
I (0.2500, 0.7500, 0.5000)  4 Ag 3.07
I (0.7500, 0.2500, 0.5000)  4 Ag 3.07
Ag (0.6780, 0.6780, 0.6441)  1 Al 2.64, 1 Ag 2.92
Ag (0.3220, 0.3220, 0.3559)  1 Al 2.64, 1 Ag 2.92
Al (0.0000, 0.0000, 0.0000)  2 Ag 2.64

[6]
Density functional theory data (PBE-GGA) for a relaxed structure of AlAg3I.

Summary:
uncorrected formation energy = 4.7 eV per formula unit
energy above the most stable polymorph in this dataset = 0.4790 eV per atom
density of states at the Fermi level = 3.984 states/eV/cell
total magnetic moment = 0.00 μB per formula unit

Cell lengths 5.4587, 5.4587, 5.4587 Å; angles 90.00, 90.00, 90.00 degrees
Last column: nearest neighbours and their distance in Å.
Fractional coordinates of all 5 atoms:
Ag (0.0000, 0.5000, 0.0000)  2 I 2.73
Ag (0.0000, 0.0000, 0.5000)  2 I 2.73
Ag (0.5000, 0.0000, 0.0000)  2 I 2.73
I (0.0000, 0.0000, 0.0000)  6 Ag 2.73
Al (0.5000, 0.5000, 0.5000)  12 Ag 3.86